DFT (PBE) results for a geometry-optimized AcCeDyLu structure.

Calculated values
Formation enthalpy at 0 K ... 0.173 eV/atom
SG ... F-43m (216)

CIF file:
```
data_AcCeDyLu
_space_group_name_H-M_alt 'P 1'
_space_group_IT_number 1
_space_group_name_Hall 'P 1'
_cell_length_a 5.792
_cell_length_b 5.792
_cell_length_c 5.792
_cell_angle_alpha 60.00
_cell_angle_beta 60.00
_cell_angle_gamma 60.00
loop_
_atom_site_label
_atom_site_fract_x
_atom_site_fract_y
_atom_site_fract_z
_atom_site_occupancy
Ac1 0.000 0.000 0.000 1
Ce1 0.500 0.500 0.500 1
Dy1 0.750 0.750 0.750 1
Lu1 0.250 0.250 0.250 1
```